[1]
# LaReAuBr2

Crystalline LaReAuBr2 at its relaxed geometry (PBE-GGA, Alexandria via LeMat-Bulk).

Values from the calculation:
The space group is P4/mmm (123). The formation energy without anion corrections is 0.520 eV/atom.

Cell lengths 5.783, 5.783, 5.915 Å; angles 90.00, 90.00, 90.00 degrees
Atoms (fractional coordinates):
La: 0.000 0.000 0.000
Re: 0.500 0.500 0.500
Au: 0.000 0.000 0.500
Br: 0.000 0.500 0.000
Br: 0.500 0.000 0.000

[2]
# RbMo2AsI

Crystalline RbMo2AsI at its relaxed geometry (PBE-GGA, Alexandria via LeMat-Bulk).

Values from the calculation:
The space group is P4/mmm (123). The formation energy without anion corrections is 2.561 eV/atom.

Cell lengths 6.868, 6.868, 6.397 Å; angles 90.00, 90.00, 90.00 degrees
Atoms (fractional coordinates):
Rb: 0.000 0.000 0.000
Mo: 0.000 0.500 0.000
Mo: 0.500 0.000 0.000
As: 0.500 0.500 0.500
I: 0.000 0.000 0.500

[3]
# LiBe3In

Crystalline LiBe3In at its relaxed geometry (PBE-GGA, Alexandria via LeMat-Bulk).

Values from the calculation:
The space group is Pm-3m (221). The calculation puts the distance to the lowest polymorph of the same formula at 0.000 eV/atom. For the formation energy from the elements, the calculation gives 904 meV/atom.

Cell lengths 4.063, 4.063, 4.063 Å; angles 90.00, 90.00, 90.00 degrees
Atoms (fractional coordinates):
Li: 0.000 0.000 0.000
Be: 0.000 0.000 0.500
Be: 0.000 0.500 0.000
Be: 0.500 0.000 0.000
In: 0.500 0.500 0.500

[4]
# BaWBr2

Crystalline BaWBr2 at its relaxed geometry (PBE-GGA, Alexandria via LeMat-Bulk).

Values from the calculation:
The space group is Pmmm (47). The calculation puts the distance to the lowest polymorph of the same formula at 0.073 eV/atom. The formation energy without anion corrections is 0.122 eV/atom.

Cell lengths 3.507, 4.376, 6.640 Å; angles 90.00, 90.00, 90.00 degrees
Atoms (fractional coordinates):
Ba: 0.000 0.000 0.000
W: 0.500 0.000 0.500
Br: 0.500 0.500 0.272
Br: 0.500 0.500 0.728

[5]
# RbMgTl2

Crystalline RbMgTl2 at its relaxed geometry (PBE-GGA, Alexandria via LeMat-Bulk).

Values from the calculation:
The space group is C2/m (12). The calculation puts the distance to the lowest polymorph of the same formula at 0.038 eV/atom. For the formation energy from the elements, the calculation gives -40 meV/atom.

Cell lengths 5.042, 5.042, 7.441 Å; angles 109.83, 109.83, 60.04 degrees
Atoms (fractional coordinates):
Rb: 0.000 0.000 0.000
Mg: 0.500 0.500 0.500
Tl: 0.210 0.210 0.630
Tl: 0.790 0.790 0.370

[6]
# LiCdCl

Crystalline LiCdCl at its relaxed geometry (PBE-GGA, Alexandria via LeMat-Bulk).

Values from the calculation:
The space group is Amm2 (38). The calculation puts the distance to the lowest polymorph of the same formula at 0.000 eV/atom. The formation energy without anion corrections is -0.957 eV/atom.

Cell lengths 15.034, 3.920, 3.920 Å; angles 60.01, 90.00, 90.00 degrees
Atoms (fractional coordinates):
Li: 0.242 0.000 0.000
Li: 0.758 0.000 0.000
Cd: 0.000 0.109 0.109
Cd: 0.500 0.320 0.320
Cl: 0.242 0.334 0.334
Cl: 0.758 0.334 0.334

[7]
# LaBeGePt6

Crystalline LaBeGePt6 at its relaxed geometry (PBE-GGA, Alexandria via LeMat-Bulk).

Values from the calculation:
The space group is Imma (74). For the formation energy from the elements, the calculation gives -489 meV/atom.

Cell lengths 7.919, 7.919, 7.919 Å; angles 121.53, 119.38, 89.22 degrees
Atoms (fractional coordinates):
La: 0.406 0.156 0.250
La: 0.594 0.844 0.750
Be: 0.000 0.500 0.500
Be: 0.500 0.500 0.000
Ge: 0.000 0.000 0.500
Ge: 0.000 0.500 0.000
Pt: 0.112 0.384 0.257
Pt: 0.112 0.855 0.728
Pt: 0.134 0.884 0.250
Pt: 0.344 0.594 0.750
Pt: 0.373 0.145 0.757
Pt: 0.373 0.616 0.228
Pt: 0.627 0.384 0.772
Pt: 0.627 0.855 0.243
Pt: 0.656 0.406 0.250
Pt: 0.866 0.116 0.750
Pt: 0.888 0.145 0.272
Pt: 0.888 0.616 0.743

[8]
# Ni3GeI

Crystalline Ni3GeI at its relaxed geometry (PBE-GGA, Alexandria via LeMat-Bulk).

Values from the calculation:
The space group is Pm-3m (221). The calculation puts the distance to the lowest polymorph of the same formula at 0.418 eV/atom. The formation energy without anion corrections is 1.043 eV/atom.

Cell lengths 4.653, 4.653, 4.653 Å; angles 90.00, 90.00, 90.00 degrees
Atoms (fractional coordinates):
Ni: 0.000 0.000 0.500
Ni: 0.000 0.500 0.000
Ni: 0.500 0.000 0.000
Ge: 0.500 0.500 0.500
I: 0.000 0.000 0.000